[1]
Compound: La5Dy2HoTh
Source: the Alexandria database
Functional: GGA-PBE
Structure: relaxed

Geometry as POSCAR:
```
La5Dy2HoTh
1.0
-0.042 -2.740 4.776
6.980 -5.895 -6.495
8.213 5.909 3.463
La Ho Dy Th
10 2 4 2
Direct
0.277 0.554 0.701 La
0.628 0.256 0.508 La
0.500 0.000 0.758 La
0.999 0.998 0.008 La
0.500 0.000 0.258 La
0.723 0.447 0.816 La
0.723 0.446 0.201 La
0.001 0.002 0.508 La
0.277 0.553 0.316 La
0.372 0.744 0.008 La
0.398 0.795 0.508 Ho
0.602 0.205 0.008 Ho
0.888 0.777 0.752 Dy
0.112 0.223 0.765 Dy
0.112 0.223 0.252 Dy
0.888 0.777 0.265 Dy
0.211 0.422 0.008 Th
0.789 0.578 0.508 Th
```

Calculated values
The value obtained for the formation energy is 0.1281 eV/atom.

***

[2]
Compound: LaDyHoTh
Source: the Alexandria database
Functional: GGA-PBE
Structure: relaxed

Geometry as POSCAR:
```
LaDyHoTh
1.0
-5.180 -2.325 0.676
-1.948 -3.796 -3.806
-0.494 -5.508 1.452
Dy Ho Th La
1 1 1 1
Direct
0.000 0.000 0.000 Dy
0.500 0.500 0.500 Ho
0.750 0.750 0.750 Th
0.250 0.250 0.250 La
```

Calculated values
The value obtained for the formation energy is 0.1211 eV/atom.

***

[3]
Compound: LaDy5HoTh2
Source: the Alexandria database
Functional: GGA-PBE
Structure: relaxed

Geometry as POSCAR:
```
LaDy5HoTh2
1.0
-1.898 2.849 -8.046
-8.411 0.775 2.258
6.447 5.533 5.189
Dy La Ho Th
10 2 2 4
Direct
0.846 0.932 0.278 Dy
0.568 0.654 0.722 Dy
0.068 0.568 0.722 Dy
0.000 0.000 0.000 Dy
0.154 0.068 0.722 Dy
0.346 0.846 0.278 Dy
0.432 0.346 0.278 Dy
0.932 0.432 0.278 Dy
0.654 0.154 0.722 Dy
0.500 0.500 0.000 Dy
0.750 0.250 0.500 La
0.250 0.750 0.500 La
0.750 0.750 0.500 Ho
0.250 0.250 0.500 Ho
0.620 0.120 0.000 Th
0.120 0.380 0.000 Th
0.880 0.620 0.000 Th
0.380 0.880 0.000 Th
```

Calculated values
The value obtained for the formation energy is 0.3194 eV/atom.

***

Values for spin magnetization, μB/f.u., ordered as above
0.00 0.00 0.00
Values for final energy, Ry/atom, ordered as above
-0.36493 -0.38665 -0.36325